Record 1
Here is an optimized crystal structure of AcSn3Rh3 from Alexandria. Energies are from PBE.

Computed properties:
- Offset from the most stable computed form: 0.0 kJ per mole of atoms
- Total energy: -5.857 eV per atom
- Formation energy: -0.40 eV/atom
- V: 320.73 Å³/cell

Lattice parameters (Å, degrees): 7.1872 7.1872 8.2836 64.29 64.29 60.00
Element x y z (fractional)
Sn 0.5448 0.7305 0.6338
Rh 0.6889 0.9003 0.2557
Sn 0.4552 0.2695 0.3662
Rh 0.8449 0.3111 0.7443
Rh 0.9003 0.1551 0.2557
Rh 0.1551 0.6889 0.2557
Rh 0.0997 0.8449 0.7443
Sn 0.7305 0.0909 0.6338
Sn 0.0909 0.5448 0.6338
Sn 0.9091 0.4552 0.3662
Ac 0.6579 0.6579 0.0264
Ac 0.3421 0.3421 0.9736
Rh 0.3111 0.0997 0.7443
Sn 0.2695 0.9091 0.3662

=====

Record 2
Here is an optimized crystal structure of MgSiNiIr from Alexandria. Energies are from PBE.

Computed properties:
- Total energy: -5.857 eV per atom
- Raw formation energy: -1.77 eV per formula unit
- V: 52.57 Å³/cell

Lattice parameters (Å, degrees): 4.2048 4.2048 4.2048 60.00 60.00 60.00
Element x y z (fractional)
Mg 0.7500 0.7500 0.7500
Ni 0.0000 0.0000 0.0000
Si 0.2500 0.2500 0.2500
Ir 0.5000 0.5000 0.5000

=====

Record 3
Here is an optimized crystal structure of BeRhBr from Alexandria. Energies are from PBE.

Computed properties:
- Offset from the most stable computed form: 31.5 kJ per mole of atoms
- Total energy: -4.352 eV per atom
- Raw formation energy: -0.31 eV per formula unit
- V: 123.84 Å³/cell

Lattice parameters (Å, degrees): 3.8515 3.9540 8.5853 103.39 102.81 90.02
Element x y z (fractional)
Rh 0.2429 0.6825 0.4280
Rh 0.7449 0.1691 0.4279
Be 0.6674 0.5866 0.2794
Br 0.8997 0.2848 0.7386
Be 0.8141 0.7360 0.5763
Br 0.5920 0.9722 0.1172

=====

Record 4
Here is an optimized crystal structure of Th2Be4Si3Ir from Alexandria. Energies are from PBE.

Computed properties:
- Total energy: -6.001 eV per atom
- Raw formation energy: -5.14 eV per formula unit
- V: 154.23 Å³/cell

Lattice parameters (Å, degrees): 3.9754 3.9754 9.7590 90.00 90.00 90.00
Element x y z (fractional)
Be 0.5000 0.5000 0.0000
Si 0.0000 0.5000 0.1280
Th 0.0000 0.5000 0.7523
Si 0.5000 0.0000 0.8720
Be 0.5000 0.0000 0.6273
Ir 0.5000 0.5000 0.5000
Be 0.0000 0.0000 0.0000
Si 0.0000 0.0000 0.5000
Th 0.5000 0.0000 0.2477
Be 0.0000 0.5000 0.3727

=====

Record 5
Here is an optimized crystal structure of BaAlZn from Alexandria. Energies are from PBE.

Computed properties:
- Offset from the most stable computed form: 2.5 kJ per mole of atoms
- Total energy: -2.490 eV per atom
- Formation energy: -0.18 eV/atom
- V: 170.88 Å³/cell

Lattice parameters (Å, degrees): 4.4165 6.3348 8.4449 50.27 74.78 89.92
Element x y z (fractional)
Zn 0.0014 0.7836 0.2711
Al 0.6175 0.0129 0.0391
Al 0.8018 0.6152 0.6695
Zn 0.4180 0.8445 0.4375
Ba 0.3208 0.1905 0.6326
Ba 0.0984 0.4377 0.0759

=====

Record 6
Here is an optimized crystal structure of In3BAs from Alexandria. Energies are from PBE.

Computed properties:
- Offset from the most stable computed form: 79.5 kJ per mole of atoms
- Total energy: -2.642 eV per atom
- Formation energy: 1.27 eV/atom
- V: 156.23 Å³/cell

Lattice parameters (Å, degrees): 5.3859 5.3859 5.3859 90.00 90.00 90.00
Element x y z (fractional)
In 0.5000 0.0000 0.0000
In 0.0000 0.0000 0.5000
As 0.0000 0.0000 0.0000
B 0.5000 0.5000 0.5000
In 0.0000 0.5000 0.0000

=====

Record 7
Here is an optimized crystal structure of HfOsPb2O6 from Alexandria. Energies are from PBE.

Computed properties:
- Total energy: -7.474 eV per atom
- Raw formation energy: -16.39 eV per formula unit
- V: 285.86 Å³/cell

Lattice parameters (Å, degrees): 5.8708 5.8708 10.1590 73.21 73.21 60.00
Site moments in Bohr magnetons follow the coordinates.
Element x y z (fractional)
Pb 0.7263 0.7263 0.8211  0.01
O 0.7172 0.2000 0.8827  0.07
O 0.8000 0.2828 0.1173  0.07
Hf 0.4051 0.4051 0.7847  0.01
Hf 0.5949 0.5949 0.2153  0.01
O 0.6219 0.1324 0.6239  0.07
O 0.6219 0.6219 0.6239  0.07
Os 0.0000 0.0000 0.0000  1.61
Os 0.5000 0.5000 0.5000  1.15
Pb 0.8563 0.8563 0.4311  0.01
O 0.1324 0.6219 0.6239  0.07
O 0.2000 0.2000 0.8827  0.07
O 0.3781 0.8676 0.3761  0.07
O 0.2828 0.8000 0.1173  0.07
O 0.8000 0.8000 0.1173  0.07
O 0.8676 0.3781 0.3761  0.07
O 0.2000 0.7172 0.8827  0.07
O 0.3781 0.3781 0.3761  0.07
Pb 0.2737 0.2737 0.1789  0.01
Pb 0.1437 0.1437 0.5689  0.01

=====

Record 8
Here is an optimized crystal structure of GaSnSb2Te from Alexandria. Energies are from PBE.

Computed properties:
- Offset from the most stable computed form: 19.6 kJ per mole of atoms
- Total energy: -3.055 eV per atom
- Raw formation energy: 3.14 eV per formula unit
- V: 186.63 Å³/cell

Lattice parameters (Å, degrees): 5.6773 5.6773 5.7902 90.00 90.00 90.00
Element x y z (fractional)
Sn 0.0000 0.0000 0.0000
Ga 0.5000 0.5000 0.5000
Sb 0.0000 0.5000 0.0000
Sb 0.5000 0.0000 0.0000
Te 0.0000 0.0000 0.5000